Tc2AgGeN: optimized geometry, GGA-PBEsol.

abc: 4.688 4.688 3.617
angles: 90.00 90.00 90.00
Fractional positions:
Tc (0.000, 0.500, 0.000)
Tc (0.500, 0.000, 0.000)
Ag (0.000, 0.000, 0.500)
Ge (0.500, 0.500, 0.000)
N (0.500, 0.500, 0.500)

Results
Energy   -6.10 eV per atom
Volume   79.5 Å³ per cell
Space-group type   No. 123
Crystal system   tetragonal
Formation energy from raw total energies   169.8 kJ/mol of atoms

MoAs: optimized geometry, GGA-PBEsol.

abc: 4.682 4.682 4.502
angles: 105.37 105.37 39.70
Fractional positions:
Mo (0.118, 0.118, 0.314)
Mo (0.882, 0.882, 0.686)
As (0.380, 0.380, 0.176)
As (0.620, 0.620, 0.824)

Results
Energy   -8.62 eV per atom
Formation energy from the elements   -0.180 eV per atom
Volume   60.5 Å³ per cell
Space-group type   No. 12
Crystal system   monoclinic

SrAl2Ag: optimized geometry, GGA-PBEsol.

abc: 6.215 6.215 6.215
angles: 41.90 41.90 41.90
Fractional positions:
Sr (0.000, 0.000, 0.000)
Al (0.203, 0.203, 0.203)
Al (0.473, 0.473, 0.473)
Ag (0.808, 0.808, 0.808)

Results
Energy   -3.55 eV per atom
Formation energy from the elements   -0.214 eV per atom
Volume   96.8 Å³ per cell
Space-group type   No. 160
Crystal system   trigonal